Here is AcPuTcO6 after structural relaxation from the Alexandria database. Energies are from PBE-GGA.

Unit cell a=5.7598 b=5.7598 c=9.1103 alpha=90.00 beta=90.00 gamma=120.00
Site moments in Bohr magnetons follow the coordinates.
Element x y z (fractional)
1 Ac 0.3333 0.6667 0.2500  0.02
2 Ac 0.6667 0.3333 0.7500  0.02
3 Pu 0.0000 0.0000 0.0000  4.17
4 Pu 0.0000 0.0000 0.5000  4.17
5 Tc 0.6667 0.3333 0.2500  1.60
6 Tc 0.3333 0.6667 0.7500  1.60
7 O 0.7045 0.6365 0.1257  -0.01
8 O 0.9320 0.2955 0.1257  -0.01
9 O 0.2955 0.9320 0.6257  -0.01
10 O 0.0680 0.7045 0.8743  -0.01
11 O 0.3635 0.2955 0.3743  -0.01
12 O 0.9320 0.6365 0.3743  -0.01
13 O 0.6365 0.9320 0.8743  -0.01
14 O 0.7045 0.0680 0.3743  -0.01
15 O 0.0680 0.3635 0.6257  -0.01
16 O 0.3635 0.0680 0.1257  -0.01
17 O 0.6365 0.7045 0.6257  -0.01
18 O 0.2955 0.3635 0.8743  -0.01

Properties
Symmetry: P-31c, No. 163
Crystal system: trigonal
ρ in g/cm³: 8.44
Formation energy (no corrections) in eV/atom: -2.389